# LiPm4Sn15

An optimized crystal structure of LiPm4Sn15 (PBE, Alexandria via LeMat-Bulk).

Unit cell a=4.704 b=4.704 c=24.029 alpha=90.00 beta=90.00 gamma=90.00
Space group P4/mmm (No. 123)
One atom of each set of equivalent atoms:
1 Li 0.000 0.000 0.000 x1
2 Pm 0.000 0.000 0.200 x2
3 Pm 0.000 0.000 0.399 x2
4 Sn 0.000 0.500 0.094 x4
5 Sn 0.000 0.500 0.298 x4
6 Sn 0.000 0.500 0.500 x2
7 Sn 0.500 0.500 0.000 x1
8 Sn 0.500 0.500 0.195 x2
9 Sn 0.500 0.500 0.400 x2

**Energy relative to the elements**: -807 kJ/mol of formula units